1.
Compound: TmMnPd2
Source: Alexandria via LeMat-Bulk
Functional: PBE
Structure: optimized geometry

Output
V, A^3/atom: 17.98
SG: No. 225
Distance to the lowest polymorph of the same formula, meV per atom: 10

Lattice parameters (Å, degrees): 4.6681 4.6681 4.6681 60.00 60.00 60.00
Last column: nearest neighbours and their distance in Å.
Atoms (fractional coordinates):
Tm (0.0000, 0.0000, 0.0000)  8 Pd 2.86
Mn (0.5000, 0.5000, 0.5000)  8 Pd 2.86
Pd (0.2500, 0.2500, 0.2500)  4 Mn 2.86, 4 Tm 2.86
Pd (0.7500, 0.7500, 0.7500)  4 Mn 2.86, 4 Tm 2.86

2.
Compound: TmMn3Pd6
Source: Alexandria via LeMat-Bulk
Functional: PBE
Structure: optimized geometry

Output
V, A^3/atom: 16.14
SG: No. 11

Lattice parameters (Å, degrees): 8.3934 4.2014 9.2103 90.00 96.44 90.00
Last column: nearest neighbours and their distance in Å.
Atoms (fractional coordinates):
Tm (0.0650, 0.2500, 0.3763)  9 Pd 2.77-3.05
Tm (0.9350, 0.7500, 0.6237)  9 Pd 2.77-3.05
Mn (0.2510, 0.2500, 0.0268)  10 Pd 2.72-2.85, 2 Mn 3.03
Mn (0.3453, 0.7500, 0.8154)  8 Pd 2.64-2.74
Mn (0.4461, 0.2500, 0.6048)  8 Pd 2.61-2.77
Mn (0.5539, 0.7500, 0.3952)  8 Pd 2.61-2.77
Mn (0.6547, 0.2500, 0.1846)  8 Pd 2.64-2.74
Mn (0.7490, 0.7500, 0.9732)  10 Pd 2.72-2.85, 2 Mn 3.03
Pd (0.0622, 0.7500, 0.9143)  4 Mn 2.64-2.76, 3 Pd 2.75-2.89, 1 Tm 2.77
Pd (0.1632, 0.7500, 0.2087)  8 Pd 2.75-2.97, 2 Tm 2.79, 2 Mn 2.84
Pd (0.1643, 0.2500, 0.7188)  4 Mn 2.68-2.85, 5 Pd 2.90-2.99, 2 Tm 2.92
Pd (0.2668, 0.7500, 0.5183)  4 Mn 2.65-2.77, 1 Pd 2.89, 2 Tm 2.91
Pd (0.3839, 0.2500, 0.3107)  5 Mn 2.61-2.72, 1 Tm 2.81, 2 Pd 2.89
Pd (0.4656, 0.7500, 0.1014)  7 Mn 2.69-2.80, 5 Pd 2.82-2.98
Pd (0.5344, 0.2500, 0.8986)  7 Mn 2.69-2.80, 5 Pd 2.82-2.98
Pd (0.6161, 0.7500, 0.6893)  5 Mn 2.61-2.72, 1 Tm 2.81, 2 Pd 2.89
Pd (0.7332, 0.2500, 0.4817)  4 Mn 2.65-2.77, 1 Pd 2.89, 2 Tm 2.91
Pd (0.8357, 0.7500, 0.2812)  4 Mn 2.68-2.85, 5 Pd 2.90-2.99, 2 Tm 2.92
Pd (0.8368, 0.2500, 0.7913)  8 Pd 2.75-2.97, 2 Tm 2.79, 2 Mn 2.84
Pd (0.9378, 0.2500, 0.0857)  4 Mn 2.64-2.76, 3 Pd 2.75-2.89, 1 Tm 2.77

3.
Compound: TmMn3Pd12
Source: Alexandria via LeMat-Bulk
Functional: PBE
Structure: optimized geometry

Output
V, A^3/atom: 15.62
SG: No. 123

Lattice parameters (Å, degrees): 3.9785 3.9785 15.7930 90.00 90.00 90.00
Last column: nearest neighbours and their distance in Å.
Atoms (fractional coordinates):
Tm (0.0000, 0.0000, 0.0000)  12 Pd 2.81-2.90
Mn (0.0000, 0.0000, 0.2562)  12 Pd 2.77-2.81
Mn (0.0000, 0.0000, 0.5000)  12 Pd 2.77-2.81
Mn (0.0000, 0.0000, 0.7438)  12 Pd 2.77-2.81
Pd (0.0000, 0.5000, 0.1339)  8 Pd 2.77-2.90, 2 Mn 2.77, 2 Tm 2.90
Pd (0.0000, 0.5000, 0.3783)  8 Pd 2.77-2.81, 4 Mn 2.77
Pd (0.0000, 0.5000, 0.6217)  4 Mn 2.77, 8 Pd 2.77-2.81
Pd (0.0000, 0.5000, 0.8661)  8 Pd 2.77-2.90, 2 Mn 2.77, 2 Tm 2.90
Pd (0.5000, 0.0000, 0.1339)  8 Pd 2.77-2.90, 2 Mn 2.77, 2 Tm 2.90
Pd (0.5000, 0.0000, 0.3783)  8 Pd 2.77-2.81, 4 Mn 2.77
Pd (0.5000, 0.0000, 0.6217)  4 Mn 2.77, 8 Pd 2.77-2.81
Pd (0.5000, 0.0000, 0.8661)  8 Pd 2.77-2.90, 2 Mn 2.77, 2 Tm 2.90
Pd (0.5000, 0.5000, 0.0000)  4 Tm 2.81, 8 Pd 2.90
Pd (0.5000, 0.5000, 0.2559)  8 Pd 2.77, 4 Mn 2.81
Pd (0.5000, 0.5000, 0.5000)  8 Pd 2.77, 4 Mn 2.81
Pd (0.5000, 0.5000, 0.7441)  8 Pd 2.77, 4 Mn 2.81

4.
Compound: Tm2MnPd
Source: Alexandria via LeMat-Bulk
Functional: PBE
Structure: optimized geometry

Output
V, A^3/atom: 20.50
SG: No. 123
Distance to the lowest polymorph of the same formula, meV per atom: 0

Lattice parameters (Å, degrees): 3.4414 3.4414 6.9224 90.00 90.00 90.00
Last column: nearest neighbours and their distance in Å.
Atoms (fractional coordinates):
Tm (0.0000, 0.0000, 0.2494)  4 Mn 2.98, 4 Pd 2.99
Tm (0.0000, 0.0000, 0.7506)  4 Mn 2.98, 4 Pd 2.99
Mn (0.5000, 0.5000, 0.0000)  8 Tm 2.98
Pd (0.5000, 0.5000, 0.5000)  8 Tm 2.99

5.
Compound: Tm2MnPd9
Source: Alexandria via LeMat-Bulk
Functional: PBE
Structure: optimized geometry

Output
V, A^3/atom: 16.47
SG: No. 123

Lattice parameters (Å, degrees): 4.0480 4.0480 12.0618 90.00 90.00 90.00
Last column: nearest neighbours and their distance in Å.
Atoms (fractional coordinates):
Tm (0.0000, 0.0000, 0.1719)  12 Pd 2.86-2.90
Tm (0.0000, 0.0000, 0.8281)  12 Pd 2.86-2.90
Mn (0.0000, 0.0000, 0.5000)  12 Pd 2.77-2.86
Pd (0.0000, 0.5000, 0.0000)  8 Pd 2.86-2.89, 4 Tm 2.90
Pd (0.0000, 0.5000, 0.3435)  2 Mn 2.77, 8 Pd 2.77-2.90, 2 Tm 2.89
Pd (0.0000, 0.5000, 0.6565)  2 Mn 2.77, 8 Pd 2.77-2.90, 2 Tm 2.89
Pd (0.5000, 0.0000, 0.0000)  8 Pd 2.86-2.89, 4 Tm 2.90
Pd (0.5000, 0.0000, 0.3435)  2 Mn 2.77, 8 Pd 2.77-2.90, 2 Tm 2.89
Pd (0.5000, 0.0000, 0.6565)  2 Mn 2.77, 8 Pd 2.77-2.90, 2 Tm 2.89
Pd (0.5000, 0.5000, 0.1714)  4 Tm 2.86, 8 Pd 2.89-2.90
Pd (0.5000, 0.5000, 0.5000)  8 Pd 2.77, 4 Mn 2.86
Pd (0.5000, 0.5000, 0.8286)  4 Tm 2.86, 8 Pd 2.89-2.90

6.
Compound: YTmMnPd
Source: Alexandria via LeMat-Bulk
Functional: PBE
Structure: optimized geometry

Output
V, A^3/atom: 21.55
SG: No. 216

Lattice parameters (Å, degrees): 4.9582 4.9582 4.9582 60.00 60.00 60.00
Last column: nearest neighbours and their distance in Å.
Atoms (fractional coordinates):
Y (0.0000, 0.0000, 0.0000)  4 Mn 3.04, 4 Pd 3.04
Tm (0.5000, 0.5000, 0.5000)  4 Pd 3.04, 4 Mn 3.04
Mn (0.2500, 0.2500, 0.2500)  4 Tm 3.04, 4 Y 3.04
Pd (0.7500, 0.7500, 0.7500)  4 Tm 3.04, 4 Y 3.04

7.
Compound: UMn2Pd8
Source: Alexandria via LeMat-Bulk
Functional: PBE
Structure: optimized geometry

Output
V, A^3/atom: 16.07
SG: No. 12

Lattice parameters (Å, degrees): 7.3777 7.3777 6.3417 106.33 106.33 32.39
Last column: nearest neighbours and their distance in Å.
Atoms (fractional coordinates):
U (0.0000, 0.0000, 0.0000)  12 Pd 2.75-2.92
Mn (0.2766, 0.2766, 0.3495)  10 Pd 2.67-2.85
Mn (0.7234, 0.7234, 0.6505)  10 Pd 2.67-2.85
Pd (0.0989, 0.0989, 0.4556)  3 Mn 2.76-2.79, 8 Pd 2.81-3.02, 1 U 2.82
Pd (0.1800, 0.1800, 0.9185)  3 Mn 2.67-2.85, 1 U 2.75, 8 Pd 2.80-2.86
Pd (0.3551, 0.3551, 0.7999)  3 Mn 2.75, 7 Pd 2.80-2.91, 2 U 2.92
Pd (0.4562, 0.4562, 0.2703)  1 Mn 2.74, 9 Pd 2.81-2.94, 2 U 2.86
Pd (0.5438, 0.5438, 0.7297)  1 Mn 2.74, 9 Pd 2.81-2.94, 2 U 2.86
Pd (0.6449, 0.6449, 0.2001)  3 Mn 2.75, 7 Pd 2.80-2.91, 2 U 2.92
Pd (0.8200, 0.8200, 0.0815)  3 Mn 2.67-2.85, 1 U 2.75, 8 Pd 2.80-2.86
Pd (0.9011, 0.9011, 0.5444)  3 Mn 2.76-2.79, 8 Pd 2.81-3.02, 1 U 2.82

8.
Compound: UMnPd14
Source: Alexandria via LeMat-Bulk
Functional: PBE
Structure: optimized geometry

Output
V, A^3/atom: 15.82
SG: No. 123

Lattice parameters (Å, degrees): 5.7212 5.7212 7.7311 90.00 90.00 90.00
Last column: nearest neighbours and their distance in Å.
Atoms (fractional coordinates):
U (0.0000, 0.0000, 0.0000)  12 Pd 2.78-2.86
Mn (0.5000, 0.5000, 0.0000)  12 Pd 2.77-2.86
Pd (0.0000, 0.0000, 0.5000)  12 Pd 2.82-2.86
Pd (0.0000, 0.5000, 0.0000)  8 Pd 2.78, 2 Mn 2.86, 2 U 2.86
Pd (0.0000, 0.5000, 0.5000)  12 Pd 2.82-2.86
Pd (0.2504, 0.2504, 0.2460)  1 Mn 2.77, 10 Pd 2.78-2.86, 1 U 2.78
Pd (0.2504, 0.2504, 0.7540)  1 Mn 2.77, 10 Pd 2.78-2.86, 1 U 2.78
Pd (0.2504, 0.7496, 0.2460)  1 Mn 2.77, 10 Pd 2.78-2.86, 1 U 2.78
Pd (0.2504, 0.7496, 0.7540)  1 Mn 2.77, 10 Pd 2.78-2.86, 1 U 2.78
Pd (0.5000, 0.0000, 0.0000)  8 Pd 2.78, 2 Mn 2.86, 2 U 2.86
Pd (0.5000, 0.0000, 0.5000)  12 Pd 2.82-2.86
Pd (0.5000, 0.5000, 0.5000)  12 Pd 2.82-2.86
Pd (0.7496, 0.2504, 0.2460)  1 Mn 2.77, 10 Pd 2.78-2.86, 1 U 2.78
Pd (0.7496, 0.2504, 0.7540)  1 Mn 2.77, 10 Pd 2.78-2.86, 1 U 2.78
Pd (0.7496, 0.7496, 0.2460)  1 Mn 2.77, 10 Pd 2.78-2.86, 1 U 2.78
Pd (0.7496, 0.7496, 0.7540)  1 Mn 2.77, 10 Pd 2.78-2.86, 1 U 2.78

| no. | calculated formation energy (eV/atom) | uncorrected energy (eV/atom) | total magnetic moment (μB per formula unit) |
| --- | --- | --- | --- |
| 1 | -0.57 | -6.578 | 4.4 |
| 2 | -0.42 | -6.736 | 13.4 |
| 3 | -0.38 | -6.277 | 13.2 |
| 4 | -0.39 | -6.219 | 2.5 |
| 5 | -0.67 | -6.069 | 4.1 |
| 6 | -0.28 | -6.608 | 3.3 |
| 7 | -0.34 | -6.810 | 7.4 |
| 8 | -0.25 | -6.072 | 4.6 |